Entry from Alexandria via LeMat-Bulk: Rb2FeHF6 after structural relaxation (PBE+U).

Cell and atoms, written as POSCAR:
```
Rb2FeHF6
1.0
-2.659 2.659 5.083
2.659 -2.659 5.083
2.659 2.659 -5.083
Rb Fe H F
2 1 1 6
Direct
0.250 0.750 0.500
0.750 0.250 0.500
0.000 0.000 0.000
0.500 0.500 0.000
0.190 0.190 0.000
0.267 0.267 0.534
0.267 0.733 0.000
0.733 0.267 0.000
0.733 0.733 0.466
0.810 0.810 0.000
```

Properties
- offset from the most stable computed form (meV/atom) = 159.4
- V (A^3/atom) = 14.373